This record from Alexandria describes crystalline CrGaFe2Cl at its relaxed geometry. The functional is PBE-GGA.

a = 4.5302 Å, b = 4.5302 Å, c = 4.8736 Å
α = 90.00°, β = 90.00°, γ = 90.00°
Last column: nearest neighbours and their distance in Å.
Space group P4/mmm (No. 123)
Asymmetric unit:
Cr 0.0000 0.0000 0.0000 [1 per cell]  4 Cl 3.20, 8 Fe 3.33
Ga 0.5000 0.5000 0.5000 [1 per cell]  4 Fe 2.27, 2 Cl 2.44
Fe 0.0000 0.5000 0.5000 [2 per cell]  2 Ga 2.27
Cl 0.5000 0.5000 0.0000 [1 per cell]  2 Ga 2.44

## Properties
Electronic total energy (eV per atom): -4.70
Crystal system: tetragonal
Total magnetization (Bohr magnetons per cell): 5.29
Formation energy (no corrections) (kcal/mol of atoms): 36.611



This record from Alexandria describes crystalline NaCuNiSe2 at its relaxed geometry. The functional is PBE-GGA.

a = 3.5763 Å, b = 3.9445 Å, c = 6.8065 Å
α = 90.00°, β = 92.61°, γ = 90.00°
Last column: nearest neighbours and their distance in Å.
Space group P2/m (No. 10)
Asymmetric unit:
Na 0.0000 0.0000 0.0000 [1 per cell]  8 Se 3.14-3.31
Cu 0.5000 0.0000 0.5000 [1 per cell]  4 Se 2.53, 4 Ni 2.66
Ni 0.0000 0.5000 0.5000 [1 per cell]  4 Se 2.39, 4 Cu 2.66
Se 0.4802 0.5000 0.2666 [2 per cell]  2 Ni 2.39, 2 Cu 2.53

## Properties
Electronic total energy (eV per atom): -4.06
Crystal system: monoclinic
Total magnetization (Bohr magnetons per cell): 0.00
Formation energy (no corrections) (kcal/mol of atoms): -9.754



This record from Alexandria describes crystalline NpGa2Rh4 at its relaxed geometry. The functional is PBE-GGA.

a = 4.3953 Å, b = 4.3953 Å, c = 21.1666 Å
α = 90.00°, β = 90.00°, γ = 120.00°
Last column: nearest neighbours and their distance in Å.
Space group R-3m (No. 166, hexagonal axes)
Asymmetric unit:
Np 0.0000 0.0000 0.0000 [3 per cell]  8 Rh 2.60-2.75
Ga 0.0000 0.0000 0.2416 [6 per cell]  7 Rh 2.52-2.69
Rh 0.0000 0.0000 0.1226 [6 per cell]  4 Ga 2.52-2.62, 1 Np 2.60
Rh 0.0000 0.0000 0.3835 [6 per cell]  4 Ga 2.69-3.00, 3 Np 2.75, 3 Rh 2.97

## Properties
Electronic total energy (eV per atom): -7.32
Crystal system: trigonal
Total magnetization (Bohr magnetons per cell): 7.22



This record from Alexandria describes crystalline Tc2Ag2I at its relaxed geometry. The functional is PBE-GGA.

a = 6.6233 Å, b = 6.6233 Å, c = 4.4258 Å
α = 90.00°, β = 90.00°, γ = 90.00°
Last column: nearest neighbours and their distance in Å.
Space group P4/mbm (No. 127)
Asymmetric unit:
Tc 0.1259 0.3741 0.0000 [4 per cell]  1 Tc 2.36, 2 I 2.61
Ag 0.1653 0.6653 0.5000 [4 per cell]  6 Tc 2.95, 1 Ag 3.10
I 0.0000 0.0000 0.0000 [2 per cell]  4 Tc 2.61

## Properties
Electronic total energy (eV per atom): -4.79
Crystal system: tetragonal
Total magnetization (Bohr magnetons per cell): 0.00
Formation energy (no corrections) (kcal/mol of atoms): 18.557
ΔE to the lowest computed polymorph (kJ/mol of formula units): 0.0



This record from Alexandria describes crystalline Ho2PbO at its relaxed geometry. The functional is PBE-GGA.

a = 3.5574 Å, b = 3.5574 Å, c = 23.0238 Å
α = 90.00°, β = 90.00°, γ = 120.00°
Last column: nearest neighbours and their distance in Å.
Space group R-3m (No. 166, hexagonal axes)
Asymmetric unit:
Ho 0.0000 0.0000 0.2223 [6 per cell]  3 O 2.42
Pb 0.0000 0.0000 0.0000 [3 per cell]  6 Ho 3.28, 6 Pb 3.56
O 0.0000 0.0000 0.5000 [3 per cell]  6 Ho 2.42

## Properties
Electronic total energy (eV per atom): -6.03
Crystal system: trigonal
Total magnetization (Bohr magnetons per cell): 0.00
Formation energy (no corrections) (kcal/mol of atoms): -36.298
ΔE to the lowest computed polymorph (kJ/mol of formula units): 81.4



This record from Alexandria describes crystalline Sc4Al2In at its relaxed geometry. The functional is PBE-GGA.

a = 4.8248 Å, b = 4.8248 Å, c = 23.2832 Å
α = 90.00°, β = 90.00°, γ = 120.00°
Last column: nearest neighbours and their distance in Å.
Space group R-3m (No. 166, hexagonal axes)
Asymmetric unit:
Sc 0.0000 0.0000 0.1130 [6 per cell]  4 Al 2.86-3.13, 3 In 3.05
Sc 0.0000 0.0000 0.3683 [6 per cell]  4 Al 2.81-3.03, 1 In 3.07
Al 0.0000 0.0000 0.2474 [6 per cell]  8 Sc 2.81-3.13
In 0.0000 0.0000 0.5000 [3 per cell]  8 Sc 3.05-3.07, 6 Al 3.36

## Properties
Electronic total energy (eV per atom): -5.33
Crystal system: trigonal
Total magnetization (Bohr magnetons per cell): 0.00



This record from Alexandria describes crystalline ErMgTe2 at its relaxed geometry. The functional is PBE-GGA.

a = 4.1743 Å, b = 4.1743 Å, c = 22.2019 Å
α = 90.00°, β = 90.00°, γ = 120.00°
Last column: nearest neighbours and their distance in Å.
Space group R3m (No. 160, hexagonal axes)
Asymmetric unit:
Er 0.0000 0.0000 0.0000 [3 per cell]  6 Te 3.08-3.13
Mg 0.0000 0.0000 0.1652 [3 per cell]  6 Te 2.97-2.98
Te 0.0000 0.0000 0.5765 [3 per cell]  3 Mg 2.97, 3 Er 3.13
Te 0.0000 0.0000 0.7531 [3 per cell]  3 Mg 2.98, 3 Er 3.08

## Properties
Electronic total energy (eV per atom): -4.11
Crystal system: trigonal
Total magnetization (Bohr magnetons per cell): 1.74
Formation energy (no corrections) (kcal/mol of atoms): -23.093
ΔE to the lowest computed polymorph (kJ/mol of formula units): 0.0



This record from Alexandria describes crystalline Er3Ag2Au2 at its relaxed geometry. The functional is PBE-GGA.

a = 3.8684 Å, b = 23.2603 Å, c = 3.5881 Å
α = 90.00°, β = 90.00°, γ = 90.00°
Last column: nearest neighbours and their distance in Å.
Space group Cmmm (No. 65)
Asymmetric unit:
Er 0.0000 0.0000 0.0000 [2 per cell]  8 Ag 3.16
Er 0.0000 0.1530 0.0000 [4 per cell]  4 Au 2.92, 4 Ag 3.21
Ag 0.0000 0.4255 0.5000 [4 per cell]  1 Au 3.08, 8 Er 3.16-3.21
Au 0.0000 0.2932 0.5000 [4 per cell]  2 Au 2.79, 4 Er 2.92, 1 Ag 3.08

## Properties
Electronic total energy (eV per atom): -4.24
Crystal system: orthorhombic
Total magnetization (Bohr magnetons per cell): 0.00



This record from Alexandria describes crystalline NbTeS3 at its relaxed geometry. The functional is PBE-GGA.

a = 7.5394 Å, b = 3.5007 Å, c = 10.1132 Å
α = 90.00°, β = 94.12°, γ = 90.00°
Last column: nearest neighbours and their distance in Å.
Space group P2_1/m (No. 11)
Asymmetric unit:
Nb 0.0081 0.2500 0.3647 [2 per cell]  6 S 2.42-2.65
Te 0.4129 0.2500 0.8888 [2 per cell]  2 S 2.56
S 0.1654 0.7500 0.8721 [2 per cell]  2 Te 2.56, 1 Nb 2.65
S 0.1682 0.7500 0.2579 [2 per cell]  2 Nb 2.42
S 0.2110 0.2500 0.5658 [2 per cell]  3 Nb 2.46-2.54

## Properties
Electronic total energy (eV per atom): -5.57
Crystal system: monoclinic
Total magnetization (Bohr magnetons per cell): 0.00
Formation energy (no corrections) (kcal/mol of atoms): -10.344
ΔE to the lowest computed polymorph (kJ/mol of formula units): 0.0



This record from Alexandria describes crystalline HfZr5Zn at its relaxed geometry. The functional is PBE-GGA.

a = 4.5253 Å, b = 4.5253 Å, c = 7.8437 Å
α = 90.00°, β = 90.00°, γ = 90.00°
Last column: nearest neighbours and their distance in Å.
Space group P4/mmm (No. 123)
Asymmetric unit:
Hf 0.0000 0.0000 0.0000 [1 per cell]  12 Zr 3.15-3.20
Zr 0.0000 0.5000 0.2801 [4 per cell]  2 Zn 2.84, 2 Zr 3.15, 2 Hf 3.15
Zr 0.5000 0.5000 0.0000 [1 per cell]  8 Zr 3.15, 4 Hf 3.20
Zn 0.5000 0.5000 0.5000 [1 per cell]  8 Zr 2.84

## Properties
Electronic total energy (eV per atom): -7.66
Crystal system: tetragonal
Total magnetization (Bohr magnetons per cell): 0.00
ΔE to the lowest computed polymorph (kJ/mol of formula units): 0.0



This record from Alexandria describes crystalline TbNdCdHg at its relaxed geometry. The functional is PBE-GGA.

a = 7.5937 Å, b = 7.5937 Å, c = 7.5937 Å
α = 90.00°, β = 90.00°, γ = 90.00°
Last column: nearest neighbours and their distance in Å.
Space group F-43m (No. 216)
Asymmetric unit:
Tb 0.0000 0.0000 0.0000 [4 per cell]  4 Cd 3.29, 4 Hg 3.29
Nd 0.0000 0.0000 0.5000 [4 per cell]  4 Hg 3.29, 4 Cd 3.29
Cd 0.2500 0.2500 0.7500 [4 per cell]  4 Tb 3.29, 4 Nd 3.29
Hg 0.2500 0.2500 0.2500 [4 per cell]  4 Tb 3.29, 4 Nd 3.29

## Properties
Electronic total energy (eV per atom): -3.04
Crystal system: cubic
Total magnetization (Bohr magnetons per cell): 3.30
ΔE to the lowest computed polymorph (kJ/mol of formula units): 2.7



This record from Alexandria describes crystalline GaAgPt at its relaxed geometry. The functional is PBE-GGA.

a = 2.8639 Å, b = 3.6255 Å, c = 5.2787 Å
α = 70.06°, β = 74.51°, γ = 89.88°
Last column: nearest neighbours and their distance in Å.
Space group P1 (No. 1)
Asymmetric unit:
Ga 0.0000 0.0000 0.0000 [1 per cell]  4 Pt 2.60-2.61, 2 Ga 2.86, 4 Ag 2.87-2.90
Ag 0.6853 0.6828 0.6374 [1 per cell]  2 Ag 2.86, 5 Ga 2.87-3.03, 5 Pt 2.92-2.95
Pt 0.3750 0.3746 0.2520 [1 per cell]  4 Ga 2.60-2.61, 2 Pt 2.86

## Properties
Electronic total energy (eV per atom): -4.24
Crystal system: triclinic
Total magnetization (Bohr magnetons per cell): 0.00
ΔE to the lowest computed polymorph (kJ/mol of formula units): 14.2